Record 1
Entry from the Open Quantum Materials Database: Cs2KReOF5 after structural relaxation (PBE).

Structure (POSCAR):
```
Cs2KReOF5
1.0
-3.182 3.182 4.490
3.182 -3.182 4.490
3.182 3.182 -4.490
Cs K Re O F
2 1 1 1 5
Cartesian
3.182 0.000 0.000
0.000 3.182 0.000
0.000 0.000 2.180
0.000 0.000 6.807
0.000 0.000 8.677
0.000 0.000 4.684
1.762 1.762 2.238
1.420 -1.420 6.728
-1.420 1.420 6.728
1.420 1.420 6.728
```

Calculated values
Magnetization = 3.000 μB/f.u.
VASP energy = -5.255 eV/atom



Record 2
Entry from the Open Quantum Materials Database: Cs2KPdF6 after structural relaxation (PBE).

Structure (POSCAR):
```
Cs2KPdF6
1.0
0.000 4.414 4.414
4.414 0.000 4.414
4.414 4.414 0.000
Cs K Pd F
2 1 1 6
Cartesian
2.207 2.207 2.207
6.620 6.620 6.620
0.000 0.000 0.000
4.414 4.414 4.414
4.414 4.414 2.391
4.414 2.391 4.414
6.437 4.414 4.414
2.391 4.414 4.414
4.414 6.437 4.414
4.414 4.414 6.437
```

Calculated values
VASP energy = -4.095 eV/atom



Record 3
Entry from the Open Quantum Materials Database: CsK2PtF5 after structural relaxation (PBE).

Structure (POSCAR):
```
CsK2PtF5
1.0
7.107 0.000 0.000
0.000 7.107 0.000
0.000 0.000 6.144
Cs K Pt F
2 4 2 10
Cartesian
0.000 0.000 0.000
3.553 3.553 0.000
1.223 2.330 3.072
2.330 5.883 3.072
4.777 1.223 3.072
5.883 4.777 3.072
0.000 3.553 0.000
3.553 0.000 0.000
0.000 0.000 3.072
0.975 4.528 1.426
0.975 4.528 4.717
2.578 0.975 1.426
2.578 0.975 4.717
3.553 3.553 3.072
4.528 6.132 1.426
4.528 6.132 4.717
6.132 2.578 1.426
6.132 2.578 4.717
```

Calculated values
Magnetization = 0.001 μB/f.u.
VASP energy = -4.256 eV/atom



Record 4
Entry from the Open Quantum Materials Database: CsK2TbF6 after structural relaxation (PBE).

Structure (POSCAR):
```
CsK2TbF6
1.0
6.367 0.000 0.000
3.128 5.569 0.000
3.143 1.817 5.558
Cs K Tb F
1 2 1 6
Cartesian
0.000 0.000 0.000
3.231 1.908 1.567
9.407 5.478 3.991
6.319 3.693 2.779
4.333 4.268 2.116
5.531 3.270 4.783
6.790 5.720 3.404
5.847 1.666 2.154
7.106 4.116 0.775
8.305 3.118 3.442
```

Calculated values
Magnetization = 0.001 μB/f.u.
VASP energy = -5.173 eV/atom



Record 5
Entry from the Open Quantum Materials Database: Cs2LiNdF6 after structural relaxation (PBE).

Structure (POSCAR):
```
Cs2LiNdF6
1.0
0.000 4.359 4.359
4.359 0.000 4.359
4.359 4.359 0.000
Cs Li Nd F
2 1 1 6
Cartesian
2.180 2.180 2.180
6.539 6.539 6.539
0.000 0.000 0.000
4.359 4.359 4.359
4.359 4.359 2.087
4.359 2.087 4.359
6.632 4.359 4.359
2.087 4.359 4.359
4.359 6.632 4.359
4.359 4.359 6.632
```

Calculated values
Magnetization = 0.000 μB/f.u.
VASP energy = -5.209 eV/atom



Record 6
Entry from the Open Quantum Materials Database: Cs2LiZnF6 after structural relaxation (PBE).

Structure (POSCAR):
```
Cs2LiZnF6
1.0
-2.882 2.882 4.085
2.882 -2.882 4.085
2.882 2.882 -4.085
Cs Li Zn F
2 1 1 6
Cartesian
2.882 0.000 2.042
0.000 2.882 2.042
0.000 0.000 0.000
0.000 0.000 4.085
4.304 1.453 0.000
1.453 1.460 0.000
0.000 0.000 2.066
0.000 0.000 6.103
1.430 1.422 4.085
-1.422 1.430 4.085
```

Calculated values
VASP energy = -3.913 eV/atom



Record 7
Entry from the Open Quantum Materials Database: CsLu3F10 after structural relaxation (PBE).

Structure (POSCAR):
```
CsLu3F10
1.0
6.689 -3.864 0.000
6.689 3.864 0.000
-0.003 0.000 4.167
Cs Lu F
1 3 10
Cartesian
0.000 0.000 0.000
6.820 0.000 2.322
9.949 1.806 2.317
9.949 -1.806 2.317
3.336 1.913 0.241
5.250 1.393 2.418
2.842 0.000 2.410
7.782 1.946 2.002
3.336 -1.913 0.241
6.660 0.000 0.245
5.250 -1.393 2.418
8.906 0.000 2.973
7.782 -1.946 2.002
11.150 0.000 1.990
```

Calculated values
Magnetization = 0.000 μB/f.u.
VASP energy = -6.356 eV/atom



Record 8
Entry from the Open Quantum Materials Database: Cs2NaNdF6 after structural relaxation (PBE).

Structure (POSCAR):
```
Cs2NaNdF6
1.0
0.000 4.491 4.491
4.491 0.000 4.491
4.491 4.491 0.000
Cs Na Nd F
2 1 1 6
Cartesian
2.246 2.246 2.246
6.737 6.737 6.737
0.000 0.000 0.000
4.491 4.491 4.491
4.491 4.491 2.235
4.491 2.235 4.491
6.748 4.491 4.491
2.235 4.491 4.491
4.491 6.748 4.491
4.491 4.491 6.748
```

Calculated values
Magnetization = 0.000 μB/f.u.
VASP energy = -5.155 eV/atom



Record 9
Entry from the Open Quantum Materials Database: Cs2NaPaOF5 after structural relaxation (PBE).

Structure (POSCAR):
```
Cs2NaPaOF5
1.0
-3.179 3.179 4.441
3.179 -3.179 4.441
3.179 3.179 -4.441
Cs Na Pa O F
2 1 1 1 5
Cartesian
3.179 0.000 0.000
0.000 3.179 0.000
0.000 0.000 2.127
0.000 0.000 6.734
0.000 0.000 8.765
1.606 1.606 6.636
-1.606 1.606 6.636
1.606 -1.606 6.636
1.573 1.573 2.195
0.000 0.000 4.412
```

Calculated values
Magnetization = 0.999 μB/f.u.
VASP energy = -5.589 eV/atom



Record 10
Entry from the Open Quantum Materials Database: Cs2NaPtOF5 after structural relaxation (PBE).

Structure (POSCAR):
```
Cs2NaPtOF5
1.0
-3.066 3.066 4.283
3.066 -3.066 4.283
3.066 3.066 -4.283
Cs Na Pt O F
2 1 1 1 5
Cartesian
3.066 0.000 0.000
0.000 3.066 0.000
0.000 0.000 2.053
0.000 0.000 6.462
0.000 0.000 8.409
0.000 0.000 4.322
1.661 1.661 2.157
1.405 -1.405 6.441
-1.405 1.405 6.441
1.405 1.405 6.441
```

Calculated values
Magnetization = 0.000 μB/f.u.
VASP energy = -4.297 eV/atom



Record 11
Entry from the Open Quantum Materials Database: Cs2NaReOF5 after structural relaxation (PBE).

Structure (POSCAR):
```
Cs2NaReOF5
1.0
-3.075 3.075 4.290
3.075 -3.075 4.290
3.075 3.075 -4.290
Cs Na Re O F
2 1 1 1 5
Cartesian
3.075 0.000 0.000
0.000 3.075 0.000
0.000 0.000 2.092
0.000 0.000 6.509
0.000 0.000 8.382
0.000 0.000 4.377
1.645 1.645 2.143
1.430 -1.430 6.433
-1.430 1.430 6.433
1.430 1.430 6.433
```

Calculated values
Magnetization = 3.000 μB/f.u.
VASP energy = -5.254 eV/atom



Record 12
Entry from the Open Quantum Materials Database: Cs2NaSmF6 after structural relaxation (PBE).

Structure (POSCAR):
```
Cs2NaSmF6
1.0
0.000 4.465 4.465
4.465 0.000 4.465
4.465 4.465 0.000
Cs Na Sm F
2 1 1 6
Cartesian
2.232 2.232 2.232
6.697 6.697 6.697
0.000 0.000 0.000
4.465 4.465 4.465
4.465 4.465 2.239
4.465 2.239 4.465
6.690 4.465 4.465
2.239 4.465 4.465
4.465 6.690 4.465
4.465 4.465 6.690
```

Calculated values
Magnetization = 0.000 μB/f.u.
VASP energy = -5.174 eV/atom



Record 13
Entry from the Open Quantum Materials Database: Cs2NaTbF6 after structural relaxation (PBE).

Structure (POSCAR):
```
Cs2NaTbF6
1.0
0.000 4.433 4.433
4.433 0.000 4.433
4.433 4.433 0.000
Cs Na Tb F
2 1 1 6
Cartesian
2.216 2.216 2.216
6.649 6.649 6.649
0.000 0.000 0.000
4.433 4.433 4.433
4.433 4.433 2.253
4.433 2.253 4.433
6.613 4.433 4.433
2.253 4.433 4.433
4.433 6.613 4.433
4.433 4.433 6.613
```

Calculated values
Magnetization = 0.000 μB/f.u.
VASP energy = -5.202 eV/atom



Record 14
Entry from the Open Quantum Materials Database: Cs2NaTcF6 after structural relaxation (PBE).

Structure (POSCAR):
```
Cs2NaTcF6
1.0
5.192 -3.007 0.000
5.192 3.007 0.000
-3.462 0.000 4.941
Cs Na Tc F
2 1 1 6
Cartesian
1.731 0.000 1.227
5.191 0.000 3.714
-1.731 0.000 2.470
5.192 0.000 0.000
2.558 1.435 3.758
0.084 0.000 3.755
4.364 1.435 1.183
2.558 -1.435 3.758
6.838 0.000 1.185
4.364 -1.435 1.183
```

Calculated values
Magnetization = 2.000 μB/f.u.
Polymorph energy (0 for the lowest one) = 0.0000 eV/atom



Record 15
Entry from the Open Quantum Materials Database: Cs2NaTcF6 after structural relaxation (PBE).

Structure (POSCAR):
```
Cs2NaTcF6
1.0
-2.993 2.993 4.303
2.993 -2.993 4.303
2.993 2.993 -4.303
Cs Na Tc F
2 1 1 6
Cartesian
2.993 0.000 2.152
0.000 2.993 2.152
0.000 0.000 0.000
0.000 0.000 4.303
4.408 1.552 0.000
0.000 0.000 2.248
1.552 1.577 0.000
1.441 1.416 4.303
0.000 0.000 6.359
-1.416 1.441 4.303
```

Calculated values
Magnetization = 1.999 μB/f.u.
Polymorph energy (0 for the lowest one) = 0.0031 eV/atom



Record 16
Entry from the Open Quantum Materials Database: CsNa2TmF6 after structural relaxation (PBE).

Structure (POSCAR):
```
CsNa2TmF6
1.0
0.000 4.739 4.739
4.739 0.000 4.739
4.739 4.739 0.000
Cs Na Tm F
1 2 1 6
Cartesian
0.000 0.000 0.000
2.370 2.370 2.370
7.109 7.109 7.109
4.739 4.739 4.739
4.739 4.739 2.640
4.739 2.640 4.739
6.839 4.739 4.739
2.640 4.739 4.739
4.739 6.839 4.739
4.739 4.739 6.839
```

Calculated values
Magnetization = 0.000 μB/f.u.
VASP energy = -4.923 eV/atom



Record 17
Entry from the Open Quantum Materials Database: CsNbF3 after structural relaxation (PBE).

Structure (POSCAR):
```
CsNbF3
1.0
3.469 2.003 5.404
-3.469 2.003 5.404
0.000 -4.005 5.404
Cs Nb F
2 2 6
Cartesian
0.000 0.000 0.000
0.000 0.000 8.106
0.000 0.000 4.053
0.000 0.000 12.159
-2.470 -0.274 6.755
-0.998 -2.276 9.457
1.472 -2.003 6.755
-1.472 2.003 9.457
0.998 2.276 6.755
2.470 0.274 9.457
```

Calculated values
Magnetization = 3.000 μB/f.u.
Polymorph energy (0 for the lowest one) = 0.1914 eV/atom



Record 18
Entry from the Open Quantum Materials Database: CsNbF3 after structural relaxation (PBE).

Structure (POSCAR):
```
CsNbF3
1.0
4.976 0.000 0.000
0.000 4.976 0.000
0.000 0.000 4.976
Cs Nb F
1 1 3
Cartesian
0.000 0.000 0.000
2.488 2.488 2.488
0.000 0.000 2.488
0.000 2.488 0.000
2.488 0.000 0.000
```

Calculated values
Magnetization = 3.528 μB/f.u.
Polymorph energy (0 for the lowest one) = 1.8051 eV/atom



Record 19
Entry from the Open Quantum Materials Database: CsNbF3 after structural relaxation (PBE).

Structure (POSCAR):
```
CsNbF3
1.0
3.121 1.802 5.784
-3.121 1.802 5.784
0.000 -3.604 5.784
Cs Nb F
2 2 6
Cartesian
0.000 0.000 2.449
0.000 0.000 14.904
0.000 0.000 5.984
0.000 0.000 11.368
-2.085 -0.195 6.693
-0.874 -1.903 10.660
1.211 -1.708 6.693
-1.211 1.708 10.660
0.874 1.903 6.693
2.085 0.195 10.660
```

Calculated values
Magnetization = 3.000 μB/f.u.
Polymorph energy (0 for the lowest one) = 0.0610 eV/atom



Record 20
Entry from the Open Quantum Materials Database: CsNbF6 after structural relaxation (PBE).

Structure (POSCAR):
```
CsNbF6
1.0
5.224 0.000 0.000
0.000 5.224 0.000
0.000 0.000 9.687
Cs Nb F
2 2 12
Cartesian
0.000 0.000 0.000
0.000 0.000 4.843
2.612 2.612 2.422
2.612 2.612 7.265
1.240 1.240 2.422
1.240 3.985 7.265
1.634 1.736 5.884
1.634 3.489 1.041
1.736 1.634 8.646
1.736 3.590 3.802
3.489 1.634 3.802
3.489 3.590 8.646
3.590 1.736 1.041
3.590 3.489 5.884
3.985 1.240 7.265
3.985 3.985 2.422
```

Calculated values
Magnetization = 0.002 μB/f.u.
VASP energy = -5.759 eV/atom